Record 1
Entry from Alexandria: crystalline SrCrH2O4 at its relaxed geometry (GGA+U).

Calculated total energy = -6.056 eV per atom
Crystal system = orthorhombic

Cell: 4.993 4.993 4.993 Å, 127.17 106.03 96.87°
Positions (direct):
Sr  0.000  0.000  0.000
Cr  0.500  0.500  0.000
H  0.339  0.839  0.500
H  0.661  0.161  0.500
O  0.206  0.056  0.597
O  0.460  0.610  0.403
O  0.540  0.944  0.150
O  0.794  0.390  0.850

Record 2
Entry from Alexandria: crystalline SrCrHO2 at its relaxed geometry (GGA+U).

Calculated total energy = -6.262 eV per atom
Crystal system = tetragonal

Cell: 4.015 4.015 3.599 Å, 90.00 90.00 90.00°
Positions (direct):
Sr  0.000  0.000  0.000
Cr  0.500  0.500  0.500
H  0.500  0.500  0.000
O  0.000  0.500  0.500
O  0.500  0.000  0.500

Record 3
Entry from Alexandria: crystalline TlCr2H2O6 at its relaxed geometry (GGA+U).

Calculated total energy = -6.102 eV per atom
Crystal system = triclinic

Cell: 5.291 5.495 6.322 Å, 90.81 104.47 115.08°
Positions (direct):
Tl  0.000  0.000  0.000
Cr  0.490  0.731  0.408
Cr  0.510  0.269  0.592
H  0.057  0.761  0.522
H  0.943  0.239  0.478
O  0.239  0.362  0.418
O  0.244  0.868  0.480
O  0.494  0.740  0.148
O  0.506  0.260  0.852
O  0.756  0.132  0.520
O  0.761  0.638  0.582